Entry 1:
Density functional theory data (PBE-GGA) for a geometry-optimized Pr2NdMn structure.

Lattice parameters (Å, degrees): 3.6716 3.6716 9.0714 90.00 90.00 90.00
With the nearest neighbours (Å) after each atom.
Fractional positions:
1 Pr 0.0000 0.0000 0.2058  4 Mn 3.20
2 Pr 0.0000 0.0000 0.7942  4 Mn 3.20
3 Nd 0.5000 0.5000 0.5000  4 Nd 3.67, 8 Pr 3.72
4 Mn 0.5000 0.5000 0.0000  8 Pr 3.20

Calculated values
Total moment = 3.7 μB/f.u.
Formation enthalpy at 0 K = 0.7 eV/f.u.
Density = 6.5 g/cm³
Total DFT energy (no corrections) = -5.6900 eV/atom

Entry 2:
Density functional theory data (PBE-GGA) for a geometry-optimized PrNd2Mn structure.

Lattice parameters (Å, degrees): 3.6581 3.6581 9.0515 90.00 90.00 90.00
With the nearest neighbours (Å) after each atom.
Fractional positions:
1 Pr 0.0000 0.0000 0.0000  4 Pr 3.66, 8 Nd 3.74
2 Nd 0.5000 0.5000 0.2983  4 Mn 3.17
3 Nd 0.5000 0.5000 0.7017  4 Mn 3.17
4 Mn 0.0000 0.0000 0.5000  8 Nd 3.17

Calculated values
Total moment = 3.6 μB/f.u.
Formation enthalpy at 0 K = 0.7 eV/f.u.
Density = 6.6 g/cm³
Total DFT energy (no corrections) = -5.6972 eV/atom

Entry 3:
Density functional theory data (PBE-GGA) for a geometry-optimized PrNdMnZn structure.

Lattice parameters (Å, degrees): 5.2196 5.2196 5.2196 60.00 60.00 60.00
With the nearest neighbours (Å) after each atom.
Fractional positions:
1 Pr 0.0000 0.0000 0.0000  4 Mn 3.20, 4 Zn 3.20
2 Nd 0.5000 0.5000 0.5000  4 Zn 3.20, 4 Mn 3.20
3 Mn 0.2500 0.2500 0.2500  4 Nd 3.20, 4 Pr 3.20
4 Zn 0.7500 0.7500 0.7500  4 Nd 3.20, 4 Pr 3.20

Calculated values
Total moment = 3.2 μB/f.u.
Formation enthalpy at 0 K = 0.1 eV/f.u.
Density = 6.7 g/cm³
Total DFT energy (no corrections) = -4.9796 eV/atom